Arrangement P

A plane-wave DFT calculation with PBE was carried out for crystalline Sb2Pb2W at its relaxed geometry.

a = 7.1260 Å, b = 7.1260 Å, c = 5.4299 Å
α = 90.00°, β = 90.00°, γ = 90.00°
Space group P4/mbm (No. 127)
One atom of each set of equivalent atoms:
Sb 0.1509 0.3491 0.0000 [4 per cell]
Pb 0.1746 0.6746 0.5000 [4 per cell]
W 0.0000 0.0000 0.0000 [2 per cell]

***

Arrangement Q

A plane-wave DFT calculation with PBE was carried out for crystalline Sb2Pb2W at its relaxed geometry.

a = 3.9562 Å, b = 3.9562 Å, c = 18.3136 Å
α = 90.00°, β = 90.00°, γ = 90.00°
Space group I4/mmm (No. 139)
One atom of each set of equivalent atoms:
Sb 0.0000 0.0000 0.0791 [4 per cell]
Pb 0.0000 0.5000 0.2500 [4 per cell]
W 0.0000 0.0000 0.5000 [2 per cell]

***

Q: Which of them is the most stable? A: arrangement P.

***

Arrangement P

A plane-wave DFT calculation with PBE was carried out for crystalline Sb2Pb2W at its relaxed geometry.

a = 7.4810 Å, b = 7.4810 Å, c = 4.9147 Å
α = 90.00°, β = 90.00°, γ = 90.00°
Space group P4/mbm (No. 127)
One atom of each set of equivalent atoms:
Sb 0.1596 0.3404 0.0000 [4 per cell]
Pb 0.1538 0.6538 0.5000 [4 per cell]
W 0.0000 0.0000 0.5000 [2 per cell]

***

Arrangement Q

A plane-wave DFT calculation with PBE was carried out for crystalline Sb2Pb2W at its relaxed geometry.

a = 3.9720 Å, b = 3.9720 Å, c = 18.7204 Å
α = 90.00°, β = 90.00°, γ = 90.00°
Space group I4/mmm (No. 139)
One atom of each set of equivalent atoms:
Sb 0.0000 0.5000 0.2500 [4 per cell]
Pb 0.0000 0.0000 0.0835 [4 per cell]
W 0.0000 0.0000 0.5000 [2 per cell]

***

Q: Which of them is the most stable? A: arrangement P.

***

Arrangement P

A plane-wave DFT calculation with PBE was carried out for crystalline SbPb3W at its relaxed geometry.

a = 5.6864 Å, b = 5.6864 Å, c = 5.6864 Å
α = 90.00°, β = 90.00°, γ = 90.00°
Space group Pm-3m (No. 221)
One atom of each set of equivalent atoms:
Sb 0.0000 0.0000 0.0000 [1 per cell]
Pb 0.0000 0.0000 0.5000 [3 per cell]
W 0.5000 0.5000 0.5000 [1 per cell]

***

Arrangement Q

A plane-wave DFT calculation with PBE was carried out for crystalline SbPb3W at its relaxed geometry.

a = 5.4541 Å, b = 5.4541 Å, c = 5.4541 Å
α = 90.00°, β = 90.00°, γ = 90.00°
Space group Pm-3m (No. 221)
One atom of each set of equivalent atoms:
Sb 0.0000 0.0000 0.0000 [1 per cell]
Pb 0.0000 0.5000 0.5000 [3 per cell]
W 0.5000 0.5000 0.5000 [1 per cell]

***

Q: Which of them is the most stable? A: arrangement Q.

***

Arrangement P

A plane-wave DFT calculation with PBE was carried out for crystalline YSbPb at its relaxed geometry.

a = 5.3536 Å, b = 5.3536 Å, c = 3.5183 Å
α = 90.00°, β = 90.00°, γ = 120.00°
Space group P3m1 (No. 156)
One atom of each set of equivalent atoms:
Y 0.0000 0.0000 0.0000 [1 per cell]
Sb 0.3333 0.6667 0.6488 [1 per cell]
Pb 0.6667 0.3333 0.4673 [1 per cell]

***

Arrangement Q

A plane-wave DFT calculation with PBE was carried out for crystalline YSbPb at its relaxed geometry.

a = 7.3837 Å, b = 7.3837 Å, c = 7.3837 Å
α = 90.00°, β = 90.00°, γ = 90.00°
Space group F-43m (No. 216)
One atom of each set of equivalent atoms:
Y 0.0000 0.0000 0.0000 [4 per cell]
Sb 0.2500 0.2500 0.7500 [4 per cell]
Pb 0.0000 0.0000 0.5000 [4 per cell]

***

Arrangement R

A plane-wave DFT calculation with PBE was carried out for crystalline YSbPb at its relaxed geometry.

a = 3.6199 Å, b = 3.6199 Å, c = 7.7673 Å
α = 90.00°, β = 90.00°, γ = 120.00°
Space group P3m1 (No. 156)
One atom of each set of equivalent atoms:
Y 0.0000 0.0000 0.0000 [1 per cell]
Sb 0.3333 0.6667 0.6900 [1 per cell]
Pb 0.6667 0.3333 0.3423 [1 per cell]

***

Arrangement S

A plane-wave DFT calculation with PBE was carried out for crystalline YSbPb at its relaxed geometry.

a = 4.0393 Å, b = 4.0393 Å, c = 10.5287 Å
α = 90.00°, β = 90.00°, γ = 90.00°
Space group I4mm (No. 107)
One atom of each set of equivalent atoms:
Y 0.0000 0.0000 0.0000 [2 per cell]
Sb 0.0000 0.0000 0.6312 [2 per cell]
Pb 0.0000 0.0000 0.3239 [2 per cell]

***

Q: Which of them is the most stable? A: arrangement S.

***

Arrangement P

A plane-wave DFT calculation with PBE was carried out for crystalline YSbPb3 at its relaxed geometry.

a = 5.8643 Å, b = 5.8643 Å, c = 5.8643 Å
α = 90.00°, β = 90.00°, γ = 90.00°
Space group Pm-3m (No. 221)
One atom of each set of equivalent atoms:
Y 0.0000 0.0000 0.0000 [1 per cell]
Sb 0.5000 0.5000 0.5000 [1 per cell]
Pb 0.0000 0.0000 0.5000 [3 per cell]

***

Arrangement Q

A plane-wave DFT calculation with PBE was carried out for crystalline YSbPb3 at its relaxed geometry.

a = 5.8043 Å, b = 5.8043 Å, c = 5.8043 Å
α = 90.00°, β = 90.00°, γ = 90.00°
Space group Pm-3m (No. 221)
One atom of each set of equivalent atoms:
Y 0.0000 0.0000 0.0000 [1 per cell]
Sb 0.5000 0.5000 0.5000 [1 per cell]
Pb 0.0000 0.5000 0.5000 [3 per cell]

***

Q: Which of them is the most stable? A: arrangement Q.

***

Arrangement P

A plane-wave DFT calculation with PBE was carried out for crystalline Zn2SbPb at its relaxed geometry.

a = 7.7906 Å, b = 7.7906 Å, c = 6.4832 Å
α = 90.00°, β = 90.00°, γ = 90.00°
Space group I-42d (No. 122)
One atom of each set of equivalent atoms:
Zn 0.2258 0.2500 0.1250 [8 per cell]
Sb 0.0000 0.0000 0.0000 [4 per cell]
Pb 0.0000 0.0000 0.5000 [4 per cell]

***

Arrangement Q

A plane-wave DFT calculation with PBE was carried out for crystalline Zn2SbPb at its relaxed geometry.

a = 4.2417 Å, b = 4.2417 Å, c = 18.8206 Å
α = 90.00°, β = 90.00°, γ = 120.00°
Space group R-3m (No. 166, hexagonal axes)
One atom of each set of equivalent atoms:
Zn 0.0000 0.0000 0.2392 [6 per cell]
Sb 0.0000 0.0000 0.5000 [3 per cell]
Pb 0.0000 0.0000 0.0000 [3 per cell]

***

Q: Which of them is the most stable? A: arrangement Q.

***

Arrangement P

A plane-wave DFT calculation with PBE was carried out for crystalline ZnSb2Pb2 at its relaxed geometry.

a = 9.5631 Å, b = 8.1302 Å, c = 7.7072 Å
α = 90.00°, β = 90.34°, γ = 90.00°
Space group P2_1/c (No. 14)
One atom of each set of equivalent atoms:
Zn 0.1118 0.0804 0.1483 [4 per cell]
Sb 0.1270 0.1059 0.7810 [4 per cell]
Sb 0.3683 0.5726 0.7347 [4 per cell]
Pb 0.1550 0.6938 0.0201 [4 per cell]
Pb 0.4099 0.2407 0.5031 [4 per cell]

***

Arrangement Q

A plane-wave DFT calculation with PBE was carried out for crystalline ZnSb2Pb2 at its relaxed geometry.

a = 8.7052 Å, b = 8.7052 Å, c = 4.0733 Å
α = 90.00°, β = 90.00°, γ = 90.00°
Space group P4/mbm (No. 127)
One atom of each set of equivalent atoms:
Zn 0.0000 0.0000 0.0000 [2 per cell]
Sb 0.1305 0.3695 0.5000 [4 per cell]
Pb 0.1595 0.6595 0.0000 [4 per cell]

***

Arrangement R

A plane-wave DFT calculation with PBE was carried out for crystalline ZnSb2Pb2 at its relaxed geometry.

a = 4.7258 Å, b = 4.7258 Å, c = 15.2814 Å
α = 90.00°, β = 90.00°, γ = 90.00°
Space group I4/mmm (No. 139)
One atom of each set of equivalent atoms:
Zn 0.0000 0.0000 0.0000 [2 per cell]
Sb 0.0000 0.5000 0.2500 [4 per cell]
Pb 0.0000 0.0000 0.3895 [4 per cell]

***

Arrangement S

A plane-wave DFT calculation with PBE was carried out for crystalline ZnSb2Pb2 at its relaxed geometry.

a = 7.0826 Å, b = 7.0826 Å, c = 5.9099 Å
α = 90.00°, β = 90.00°, γ = 90.00°
Space group P4/mbm (No. 127)
One atom of each set of equivalent atoms:
Zn 0.0000 0.0000 0.0000 [2 per cell]
Sb 0.1442 0.3558 0.0000 [4 per cell]
Pb 0.2195 0.7195 0.5000 [4 per cell]

***

Q: Which of them is the most stable? A: arrangement P.

***

Arrangement P

A plane-wave DFT calculation with PBE was carried out for crystalline ZnSb3Pb at its relaxed geometry.

a = 5.2944 Å, b = 5.2944 Å, c = 5.2944 Å
α = 90.00°, β = 90.00°, γ = 90.00°
Space group Pm-3m (No. 221)
One atom of each set of equivalent atoms:
Zn 0.0000 0.0000 0.0000 [1 per cell]
Sb 0.0000 0.0000 0.5000 [3 per cell]
Pb 0.5000 0.5000 0.5000 [1 per cell]

***

Arrangement Q

A plane-wave DFT calculation with PBE was carried out for crystalline ZnSb3Pb at its relaxed geometry.

a = 5.8418 Å, b = 5.8418 Å, c = 5.8418 Å
α = 90.00°, β = 90.00°, γ = 90.00°
Space group Pm-3m (No. 221)
One atom of each set of equivalent atoms:
Zn 0.0000 0.0000 0.0000 [1 per cell]
Sb 0.0000 0.5000 0.5000 [3 per cell]
Pb 0.5000 0.5000 0.5000 [1 per cell]

***

Q: Which of them is the most stable? A: arrangement P.

***

Arrangement P

A plane-wave DFT calculation with PBE was carried out for crystalline Zn3Sb3Pb at its relaxed geometry.

a = 7.5686 Å, b = 7.5686 Å, c = 23.4747 Å
α = 90.00°, β = 90.00°, γ = 120.00°
Space group R-3 (No. 148, hexagonal axes)
One atom of each set of equivalent atoms:
Zn 0.0065 0.3244 0.4632 [18 per cell]
Sb 0.0048 0.3458 0.5816 [18 per cell]
Pb 0.0000 0.0000 0.3372 [6 per cell]

***

Arrangement Q

A plane-wave DFT calculation with PBE was carried out for crystalline Zn3Sb3Pb at its relaxed geometry.

a = 7.4867 Å, b = 7.4867 Å, c = 7.4867 Å
α = 90.00°, β = 90.00°, γ = 90.00°
Space group Pm-3n (No. 223)
One atom of each set of equivalent atoms:
Zn 0.0000 0.2500 0.5000 [6 per cell]
Sb 0.0000 0.5000 0.2500 [6 per cell]
Pb 0.0000 0.0000 0.0000 [2 per cell]

***

Q: Which of them is the most stable? A: arrangement P.

***

Arrangement P

A plane-wave DFT calculation with PBE was carried out for crystalline ZnSbPb3 at its relaxed geometry.

a = 5.9823 Å, b = 5.9823 Å, c = 5.9823 Å
α = 90.00°, β = 90.00°, γ = 90.00°
Space group Pm-3m (No. 221)
One atom of each set of equivalent atoms:
Zn 0.0000 0.0000 0.0000 [1 per cell]
Sb 0.5000 0.5000 0.5000 [1 per cell]
Pb 0.0000 0.5000 0.5000 [3 per cell]

***

Arrangement Q

A plane-wave DFT calculation with PBE was carried out for crystalline ZnSbPb3 at its relaxed geometry.

a = 5.3908 Å, b = 5.3908 Å, c = 5.3908 Å
α = 90.00°, β = 90.00°, γ = 90.00°
Space group Pm-3m (No. 221)
One atom of each set of equivalent atoms:
Zn 0.0000 0.0000 0.0000 [1 per cell]
Sb 0.5000 0.5000 0.5000 [1 per cell]
Pb 0.0000 0.0000 0.5000 [3 per cell]

***

Q: Which of them is the most stable? A: arrangement Q.

***

Arrangement P

A plane-wave DFT calculation with PBE was carried out for crystalline ZrSbPb3 at its relaxed geometry.

a = 5.6803 Å, b = 5.6803 Å, c = 5.6803 Å
α = 90.00°, β = 90.00°, γ = 90.00°
Space group Pm-3m (No. 221)
One atom of each set of equivalent atoms:
Zr 0.0000 0.0000 0.0000 [1 per cell]
Sb 0.5000 0.5000 0.5000 [1 per cell]
Pb 0.0000 0.0000 0.5000 [3 per cell]

***

Arrangement Q

A plane-wave DFT calculation with PBE was carried out for crystalline ZrSbPb3 at its relaxed geometry.

a = 5.7652 Å, b = 5.7652 Å, c = 5.7652 Å
α = 90.00°, β = 90.00°, γ = 90.00°
Space group Pm-3m (No. 221)
One atom of each set of equivalent atoms:
Zr 0.0000 0.0000 0.0000 [1 per cell]
Sb 0.5000 0.5000 0.5000 [1 per cell]
Pb 0.0000 0.5000 0.5000 [3 per cell]

***

Q: Which of them is the most stable? A: arrangement P.